[1]
## RbNaP2 (PBE)

Data for a relaxed structure of RbNaP2.

Calculated values
Offset from the most stable computed form = 0.473 eV per atom
Final energy = -0.20655 Ry per atom
Formation enthalpy at 0 K = 45.0 kJ/mol of atoms
Space-group type = Fm-3m, No. 225
Volume = 102.7 Å³/cell

Cell lengths 5.256, 5.256, 5.256 Å; angles 60.00, 60.00, 60.00 degrees
Fractional positions:
Rb: 0.000 0.000 0.000
Na: 0.500 0.500 0.500
P: 0.250 0.250 0.250
P: 0.750 0.750 0.750

[2]
## CaPuF5 (PBE)

Data for a relaxed structure of CaPuF5.

Calculated values
Final energy = -0.53876 Ry per atom
Space-group type = C2/c, No. 15
Formation energy from raw total energies = -2472 kJ/mol of formula units
Volume = 198.3 Å³/cell

Cell lengths 4.975, 4.975, 8.035 Å; angles 92.92, 92.92, 88.74 degrees
Fractional positions:
Ca: 0.000 0.000 0.000
Ca: 0.000 0.000 0.500
Pu: 0.498 0.502 0.750
Pu: 0.502 0.498 0.250
F: 0.055 0.631 0.828
F: 0.160 0.840 0.250
F: 0.257 0.396 0.493
F: 0.369 0.945 0.672
F: 0.396 0.257 0.993
F: 0.604 0.743 0.007
F: 0.631 0.055 0.328
F: 0.743 0.604 0.507
F: 0.840 0.160 0.750
F: 0.945 0.369 0.172

Question: What is the volume in the first record?
Answer: 102.7 Å³/cell

Question: Which formula does entry 2 have?
Answer: CaPuF5